A relaxed structure of TbPm2Ag4, computed with PBE-GGA.

Output
Calculated density   7.8 g/cm3
Electronic total energy   -26.27 eV for the cell shown
Space group   I4/mmm
ΔE_f   -0.105 eV/atom
Total moment   0.0 μB per formula unit

abc: 5.3875 5.3875 7.4714
angles: 111.13 111.13 90.00
Fractional coordinates of all 7 atoms:
Tb  0.0000  0.0000  0.0000
Ag  0.8841  0.3841  0.7681
Ag  0.6159  0.1159  0.2319
Ag  0.3841  0.8841  0.7681
Ag  0.1159  0.6159  0.2319
Pm  0.2790  0.2790  0.5579
Pm  0.7210  0.7210  0.4421